Entry from OQMD via LeMat-Bulk: crystalline YHfBi2 at its relaxed geometry (PBE).

The structure in POSCAR format:
```
YHfBi2
1.0
0.000 3.801 3.801
3.801 0.000 3.801
3.801 3.801 0.000
Bi Hf Y
2 1 1
Cartesian
0.000 0.000 0.000
1.900 1.900 1.900
5.701 5.701 5.701
3.801 3.801 3.801
```

Calculated values
Space-group type = No. 216
M_tot = 0.01 μB/atom

---

Entry from OQMD via LeMat-Bulk: crystalline Y2HfBi at its relaxed geometry (PBE).

The structure in POSCAR format:
```
Y2HfBi
1.0
0.000 3.759 3.759
3.759 0.000 3.759
3.759 3.759 0.000
Bi Hf Y
1 1 2
Cartesian
3.759 3.759 3.759
1.879 1.879 1.879
0.000 0.000 0.000
5.638 5.638 5.638
```

Calculated values
Space-group type = No. 216
M_tot = 0.19 μB/atom

---

Entry from OQMD via LeMat-Bulk: crystalline YHfBi at its relaxed geometry (PBE).

The structure in POSCAR format:
```
YHfBi
1.0
-3.692 -3.561 -0.712
-3.767 0.830 -3.456
-0.138 -2.745 -4.389
Bi Hf Y
1 1 1
Cartesian
-1.899 -1.369 -2.139
-5.698 -4.108 -6.418
0.000 0.000 0.000
```

Calculated values
Space-group type = No. 216
M_tot = 0.92 μB/atom

---

Entry from OQMD via LeMat-Bulk: crystalline Hf2ZnBi2 at its relaxed geometry (PBE).

The structure in POSCAR format:
```
Hf2ZnBi2
1.0
-2.178 2.178 7.126
2.178 -2.178 7.126
2.178 2.178 -7.126
Bi Hf Zn
2 2 1
Cartesian
0.000 2.178 3.563
2.178 0.000 3.563
0.000 0.000 5.738
0.000 0.000 8.515
0.000 0.000 0.000
```

Calculated values
Space-group type = No. 139
M_tot = 0.00 μB/atom

---

Entry from OQMD via LeMat-Bulk: crystalline HfZnBi2 at its relaxed geometry (PBE).

The structure in POSCAR format:
```
HfZnBi2
1.0
0.000 3.700 3.700
3.700 0.000 3.700
3.700 3.700 0.000
Bi Hf Zn
2 1 1
Cartesian
0.000 0.000 0.000
1.850 1.850 1.850
5.550 5.550 5.550
3.700 3.700 3.700
```

Calculated values
Space-group type = No. 216
M_tot = 0.00 μB/atom

---

Entry from OQMD via LeMat-Bulk: crystalline Hf5ZnBi3 at its relaxed geometry (PBE).

The structure in POSCAR format:
```
Hf5ZnBi3
1.0
-2.275 1.325 -8.394
7.828 -3.516 1.933
-2.358 -5.364 -0.208
Bi Hf Zn
6 10 2
Cartesian
-1.986 -0.527 -5.207
1.554 -2.186 -2.545
4.218 -3.500 1.135
-2.646 -3.512 -3.395
1.253 -5.379 0.590
1.642 -5.368 -4.123
1.093 -0.289 -4.951
4.461 -1.902 -1.509
-1.193 -0.989 -2.281
1.489 -2.274 0.461
3.490 -2.950 -4.797
-0.086 -2.971 -5.055
3.282 -4.584 -1.613
-3.439 -3.050 -6.320
-0.293 -4.605 -1.871
3.981 -6.605 1.264
0.000 0.000 0.000
-1.179 -2.682 -0.104
```

Calculated values
Space-group type = No. 193
M_tot = 0.00 μB/atom

---

Entry from OQMD via LeMat-Bulk: crystalline HfZnBi2 at its relaxed geometry (PBE).

The structure in POSCAR format:
```
HfZnBi2
1.0
-4.681 -1.765 1.536
-1.902 1.359 4.682
-4.059 3.287 0.321
Bi Hf Zn
2 1 1
Cartesian
0.000 0.000 0.000
-2.660 0.720 1.635
-5.321 1.440 3.269
-7.981 2.160 4.904
```

Calculated values
Space-group type = No. 216
M_tot = 0.00 μB/atom

---

Entry from OQMD via LeMat-Bulk: crystalline HfZr2Bi at its relaxed geometry (PBE).

The structure in POSCAR format:
```
HfZr2Bi
1.0
-3.870 0.317 3.232
-2.129 4.480 0.959
-4.645 1.008 -1.713
Bi Hf Zr
1 1 2
Cartesian
-5.322 2.903 1.239
-2.661 1.451 0.619
0.000 0.000 0.000
-7.983 4.354 1.858
```

Calculated values
Space-group type = No. 216
M_tot = 0.00 μB/atom

---

Entry from OQMD via LeMat-Bulk: crystalline HfZrBi4 at its relaxed geometry (PBE).

The structure in POSCAR format:
```
HfZrBi4
1.0
-3.580 3.580 3.099
3.580 -3.580 3.099
3.580 3.580 -3.099
Bi Hf Zr
4 1 1
Cartesian
-1.093 2.486 1.549
2.486 1.093 1.549
4.673 -1.093 1.549
1.093 4.673 1.549
0.000 0.000 0.000
0.000 0.000 3.099
```

Calculated values
Space-group type = No. 97
M_tot = 0.00 μB/atom

---

Entry from OQMD via LeMat-Bulk: crystalline HgBi2 at its relaxed geometry (PBE).

The structure in POSCAR format:
```
HgBi2
1.0
-3.975 -1.510 -1.261
2.451 -5.479 -1.163
0.183 -0.129 7.378
Bi Hg
4 2
Cartesian
-0.248 -5.004 -1.025
0.285 -1.901 1.380
-1.625 -5.218 3.574
-1.093 -2.116 5.980
1.213 -4.871 2.010
-2.554 -2.249 2.945
```

Calculated values
Space-group type = No. 12

---

Entry from OQMD via LeMat-Bulk: crystalline HgBi at its relaxed geometry (PBE).

The structure in POSCAR format:
```
HgBi
1.0
0.000 3.345 3.345
3.345 0.000 3.345
3.345 3.345 0.000
Bi Hg
1 1
Cartesian
0.000 0.000 0.000
1.673 1.673 1.673
```

Calculated values
Space-group type = No. 216

---

Entry from OQMD via LeMat-Bulk: crystalline Hg2Bi at its relaxed geometry (PBE).

The structure in POSCAR format:
```
Hg2Bi
1.0
0.000 3.622 3.622
3.622 0.000 3.622
3.622 3.622 0.000
Bi Hg
1 2
Cartesian
0.000 0.000 0.000
1.811 1.811 1.811
5.434 5.434 5.434
```

Calculated values
Space-group type = No. 225

---

Raw total energy, respectively: -23.95, -26.67, -18.60, -26.83, -17.85, -129.72, -17.85, -30.90, -35.99, -16.11, -3.80, -4.22 eV/cell.